A geometry-optimized Sr2ZrAu structure, computed with GGA-PBE.

Unit cell a=5.8217 b=5.8217 c=3.6539 alpha=90.00 beta=90.00 gamma=102.45
Last column: nearest neighbours and their distance in Å.
Fractional coordinates of all 4 atoms:
Au 0.0000 0.5000 0.5000  8 Sr 3.44, 2 Zr 3.65, 2 Au 3.65
Sr 0.0000 0.0000 0.0000  4 Au 3.44, 4 Zr 3.44, 4 Sr 3.65
Sr 0.5000 0.5000 0.0000  4 Zr 3.44, 4 Au 3.44, 4 Sr 3.65
Zr 0.5000 0.0000 0.5000  8 Sr 3.44, 2 Au 3.65, 2 Zr 3.65

Calculated values
final energy	-14.454	eV per cell
E above lowest polymorph	0.294	eV per atom
D(E_F)	1.044	states/eV per atom
energy of formation from the pure elements	17.74	kJ/mol of atoms

=====

A geometry-optimized Sr2ZrAu structure, computed with GGA-PBE.

Unit cell a=6.0705 b=6.0705 c=6.0705 alpha=132.02 beta=132.02 gamma=70.20
Last column: nearest neighbours and their distance in Å.
Fractional coordinates of all 4 atoms:
Au 0.7500 0.2500 0.5000  4 Zr 3.49, 8 Sr 3.50
Sr 0.0000 0.0000 0.0000  4 Sr 3.49, 4 Zr 3.50, 4 Au 3.50
Sr 0.5000 0.5000 0.0000  4 Sr 3.49, 4 Au 3.50, 4 Zr 3.50
Zr 0.2500 0.7500 0.5000  4 Au 3.49, 8 Sr 3.50

Calculated values
final energy	-14.103	eV per cell
E above lowest polymorph	0.382	eV per atom
D(E_F)	1.397	states/eV per atom
energy of formation from the pure elements	26.19	kJ/mol of atoms

=====

A geometry-optimized Sr2ZrAu structure, computed with GGA-PBE.

Unit cell a=4.8047 b=4.2568 c=6.7819 alpha=71.76 beta=90.00 gamma=90.00
Last column: nearest neighbours and their distance in Å.
Fractional coordinates of all 4 atoms:
Au 0.5000 0.5682 0.7388  2 Zr 2.77
Sr 0.0000 0.9714 0.9333  2 Zr 3.38-3.39, 4 Au 3.44-3.45
Sr 0.5000 0.2856 0.3034  4 Zr 3.51, 3 Au 3.52-3.64
Zr 0.0000 0.6748 0.5245  2 Au 2.77

Calculated values
final energy	-15.121	eV per cell
E above lowest polymorph	0.127	eV per atom
D(E_F)	1.166	states/eV per atom
energy of formation from the pure elements	1.64	kJ/mol of atoms

=====

A geometry-optimized Sr2ZrAu structure, computed with GGA-PBE.

Unit cell a=6.8291 b=6.8291 c=6.8291 alpha=147.46 beta=134.34 gamma=57.18
Last column: nearest neighbours and their distance in Å.
Fractional coordinates of all 4 atoms:
Au 0.2500 0.7500 0.5000  4 Sr 3.05, 4 Zr 3.27
Sr 0.0517 0.0517 0.0000  2 Au 3.05
Sr 0.4483 0.4483 0.0000  2 Au 3.05
Zr 0.7500 0.2500 0.5000  4 Au 3.27, 4 Sr 3.56

Calculated values
final energy	-14.495	eV per cell
E above lowest polymorph	0.284	eV per atom
D(E_F)	1.418	states/eV per atom
energy of formation from the pure elements	16.75	kJ/mol of atoms

=====

A geometry-optimized Sr2ZrAu structure, computed with GGA-PBE.

Unit cell a=5.4468 b=5.4468 c=5.4468 alpha=60.00 beta=60.00 gamma=60.00
Last column: nearest neighbours and their distance in Å.
Fractional coordinates of all 4 atoms:
Au 0.5000 0.5000 0.5000  4 Sr 3.34, 4 Zr 3.34
Sr 0.0000 0.0000 0.0000  4 Zr 3.34, 4 Sr 3.34
Sr 0.7500 0.7500 0.7500  4 Sr 3.34, 4 Au 3.34
Zr 0.2500 0.2500 0.2500  4 Au 3.34, 4 Sr 3.34

Calculated values
final energy	-13.963	eV per cell
E above lowest polymorph	0.417	eV per atom
D(E_F)	1.110	states/eV per atom
energy of formation from the pure elements	29.58	kJ/mol of atoms

=====

A geometry-optimized Sr2ZrAu structure, computed with GGA-PBE.

Unit cell a=10.6440 b=10.6440 c=10.6440 alpha=20.39 beta=20.39 gamma=20.39
Last column: nearest neighbours and their distance in Å.
Fractional coordinates of all 4 atoms:
Au 0.7500 0.7500 0.7500  6 Sr 3.18
Sr 0.0091 0.0091 0.0091  3 Au 3.18
Sr 0.4909 0.4909 0.4909  3 Au 3.18
Zr 0.2500 0.2500 0.2500  6 Sr 3.62, 6 Zr 3.77

Calculated values
final energy	-14.684	eV per cell
E above lowest polymorph	0.237	eV per atom
D(E_F)	1.220	states/eV per atom
energy of formation from the pure elements	12.19	kJ/mol of atoms

=====

A geometry-optimized Sr2ZrAu structure, computed with GGA-PBE.

Unit cell a=6.3776 b=6.3776 c=6.3776 alpha=136.30 beta=136.30 gamma=63.51
Last column: nearest neighbours and their distance in Å.
Fractional coordinates of all 4 atoms:
Au 0.7500 0.2500 0.5000  8 Sr 3.36-3.60, 4 Zr 3.60
Sr 0.0000 0.0000 0.0000  4 Zr 3.36, 4 Au 3.60, 4 Sr 3.60
Sr 0.2500 0.7500 0.5000  4 Au 3.36, 4 Zr 3.60, 4 Sr 3.60
Zr 0.5000 0.5000 0.0000  8 Sr 3.36-3.60, 4 Au 3.60

Calculated values
final energy	-14.099	eV per cell
E above lowest polymorph	0.383	eV per atom
D(E_F)	1.320	states/eV per atom
energy of formation from the pure elements	26.31	kJ/mol of atoms

=====

A geometry-optimized Sr2ZrAu structure, computed with GGA-PBE.

Unit cell a=5.1328 b=5.1391 c=4.5611 alpha=90.00 beta=90.00 gamma=90.00
Last column: nearest neighbours and their distance in Å.
Fractional coordinates of all 4 atoms:
Au 0.0000 0.5000 0.5000  8 Sr 3.43-3.44, 4 Zr 3.63
Sr 0.0000 0.0000 0.0000  4 Zr 3.43, 4 Au 3.44, 4 Sr 3.63
Sr 0.5000 0.5000 0.0000  4 Au 3.43, 4 Zr 3.44, 4 Sr 3.63
Zr 0.5000 0.0000 0.5000  8 Sr 3.43-3.44, 4 Au 3.63

Calculated values
final energy	-14.285	eV per cell
E above lowest polymorph	0.336	eV per atom
D(E_F)	1.374	states/eV per atom
energy of formation from the pure elements	21.82	kJ/mol of atoms

=====

A geometry-optimized SrZr4Au structure, computed with GGA-PBE.

Unit cell a=5.9556 b=5.9556 c=5.9556 alpha=60.00 beta=60.00 gamma=60.00
Last column: nearest neighbours and their distance in Å.
Fractional coordinates of all 6 atoms:
Sr 0.0000 0.0000 0.0000  12 Zr 3.49, 4 Au 3.65
Zr 0.8738 0.3754 0.3754  6 Zr 2.97-2.99
Zr 0.3754 0.3754 0.8738  6 Zr 2.97-2.99
Zr 0.3754 0.8738 0.3754  6 Zr 2.97-2.99
Zr 0.3754 0.3754 0.3754  6 Zr 2.97-2.99
Au 0.7500 0.7500 0.7500  12 Zr 3.49, 4 Sr 3.65

Calculated values
final energy	-36.998	eV per cell
D(E_F)	1.084	states/eV per atom
energy of formation from the pure elements	34.64	kJ/mol of atoms

=====

A geometry-optimized SrZrAu4 structure, computed with GGA-PBE.

Unit cell a=5.6788 b=5.6788 c=5.6788 alpha=60.00 beta=60.00 gamma=60.00
Last column: nearest neighbours and their distance in Å.
Fractional coordinates of all 6 atoms:
Sr 0.7500 0.7500 0.7500  12 Au 3.33, 4 Zr 3.48
Zr 0.0000 0.0000 0.0000  12 Au 3.33, 4 Sr 3.48
Au 0.3746 0.8760 0.3746  6 Au 2.83-2.85
Au 0.8760 0.3746 0.3746  6 Au 2.83-2.85
Au 0.3746 0.3746 0.8760  6 Au 2.83-2.85
Au 0.3746 0.3746 0.3746  6 Au 2.83-2.85

Calculated values
final energy	-24.687	eV per cell
D(E_F)	1.066	states/eV per atom
energy of formation from the pure elements	-21.67	kJ/mol of atoms

=====

A geometry-optimized TaAu2 structure, computed with GGA-PBE.

Unit cell a=4.4795 b=4.4795 c=4.4795 alpha=60.00 beta=60.00 gamma=60.00
Last column: nearest neighbours and their distance in Å.
Fractional coordinates of all 3 atoms:
Au 0.7500 0.7500 0.7500  4 Ta 2.74
Au 0.2500 0.2500 0.2500  4 Ta 2.74
Ta 0.0000 0.0000 0.0000  8 Au 2.74

Calculated values
final energy	-17.320	eV per cell
D(E_F)	1.145	states/eV per atom
energy of formation from the pure elements	34.98	kJ/mol of atoms

=====

A geometry-optimized Ta7Au structure, computed with GGA-PBE.

Unit cell a=5.9258 b=5.9258 c=5.9258 alpha=60.00 beta=60.00 gamma=60.00
Last column: nearest neighbours and their distance in Å.
Fractional coordinates of all 8 atoms:
Ta 0.5000 0.0000 0.0000  10 Ta 2.96, 2 Au 2.96
Ta 0.0000 0.0000 0.5000  10 Ta 2.96, 2 Au 2.96
Ta 0.5000 0.0000 0.5000  10 Ta 2.96, 2 Au 2.96
Ta 0.0000 0.5000 0.0000  10 Ta 2.96, 2 Au 2.96
Ta 0.5000 0.5000 0.0000  10 Ta 2.96, 2 Au 2.96
Ta 0.0000 0.5000 0.5000  10 Ta 2.96, 2 Au 2.96
Ta 0.5000 0.5000 0.5000  12 Ta 2.96
Au 0.0000 0.0000 0.0000  12 Ta 2.96

Calculated values
final energy	-85.077	eV per cell
D(E_F)	1.183	states/eV per atom
energy of formation from the pure elements	14.09	kJ/mol of atoms

=====

A geometry-optimized Ta5Au structure, computed with GGA-PBE.

Unit cell a=3.4333 b=4.6376 c=7.1767 alpha=108.85 beta=90.00 gamma=90.00
Last column: nearest neighbours and their distance in Å.
Fractional coordinates of all 6 atoms:
Au 0.0000 0.0000 0.0000  12 Ta 2.88-3.22
Ta 0.0000 0.6641 0.3281  8 Ta 2.81-2.89
Ta 0.0000 0.3359 0.6719  8 Ta 2.81-2.89
Ta 0.5000 0.5000 0.0000  4 Ta 2.81, 4 Au 2.89
Ta 0.5000 0.1702 0.3404  6 Ta 2.83-2.89, 2 Au 2.88
Ta 0.5000 0.8298 0.6596  6 Ta 2.83-2.89, 2 Au 2.88

Calculated values
final energy	-62.598	eV per cell
E above lowest polymorph	0.007	eV per atom
D(E_F)	0.908	states/eV per atom
energy of formation from the pure elements	-0.92	kJ/mol of atoms

=====

A geometry-optimized Ta2Au structure, computed with GGA-PBE.

Unit cell a=4.1735 b=4.1735 c=12.6505 alpha=99.49 beta=99.49 gamma=90.00
Last column: nearest neighbours and their distance in Å.
Fractional coordinates of all 12 atoms:
Au 0.0847 0.0847 0.1695  2 Au 2.88, 10 Ta 2.91-2.99
Au 0.9153 0.9153 0.8305  2 Au 2.88, 10 Ta 2.91-2.99
Au 0.3347 0.8347 0.6695  2 Au 2.88, 10 Ta 2.91-2.99
Au 0.1653 0.6653 0.3305  2 Au 2.88, 10 Ta 2.91-2.99
Ta 0.2521 0.2521 0.5043  8 Ta 2.88-2.96, 4 Au 2.91-2.99
Ta 0.7479 0.7479 0.4957  8 Ta 2.88-2.96, 4 Au 2.91-2.99
Ta 0.5021 0.0021 0.0043  8 Ta 2.88-2.96, 4 Au 2.91-2.99
Ta 0.9979 0.4979 0.9957  8 Ta 2.88-2.96, 4 Au 2.91-2.99
Ta 0.4170 0.4170 0.8340  6 Ta 2.88-2.96, 6 Au 2.91-2.95
Ta 0.5830 0.5830 0.1660  6 Ta 2.88-2.96, 6 Au 2.91-2.95
Ta 0.6670 0.1670 0.3340  6 Ta 2.88-2.96, 6 Au 2.91-2.95
Ta 0.8330 0.3330 0.6660  6 Ta 2.88-2.96, 6 Au 2.91-2.95

Calculated values
final energy	-107.500	eV per cell
D(E_F)	1.108	states/eV per atom
energy of formation from the pure elements	3.46	kJ/mol of atoms

=====

A geometry-optimized TaAu2 structure, computed with GGA-PBE.

Unit cell a=4.9114 b=4.9114 c=2.7723 alpha=90.00 beta=90.00 gamma=90.00
Last column: nearest neighbours and their distance in Å.
Fractional coordinates of all 3 atoms:
Au 0.0000 0.5000 0.5000  2 Au 2.77, 4 Ta 2.82
Au 0.5000 0.0000 0.5000  2 Au 2.77, 4 Ta 2.82
Ta 0.0000 0.0000 0.0000  2 Ta 2.77, 8 Au 2.82

Calculated values
final energy	-17.722	eV per cell
D(E_F)	0.612	states/eV per atom
energy of formation from the pure elements	22.03	kJ/mol of atoms

=====

A geometry-optimized Ta2Au structure, computed with GGA-PBE.

Unit cell a=4.7089 b=4.7089 c=5.6315 alpha=90.00 beta=90.00 gamma=120.00
Last column: nearest neighbours and their distance in Å.
Fractional coordinates of all 6 atoms:
Ta 0.0000 0.0000 0.0000  8 Ta 2.82-3.06, 6 Au 3.06
Ta 0.0000 0.0000 0.5000  8 Ta 2.82-3.06, 6 Au 3.06
Ta 0.3333 0.6667 0.7500  5 Au 2.72-2.82
Ta 0.6667 0.3333 0.2500  5 Au 2.72-2.82
Au 0.3333 0.6667 0.2500  5 Ta 2.72-2.82
Au 0.6667 0.3333 0.7500  5 Ta 2.72-2.82

Calculated values
final energy	-53.484	eV per cell
D(E_F)	1.359	states/eV per atom
energy of formation from the pure elements	7.74	kJ/mol of atoms

=====

A geometry-optimized TaAu4 structure, computed with GGA-PBE.

Unit cell a=7.5397 b=7.5397 c=7.5397 alpha=151.30 beta=151.30 gamma=41.04
Last column: nearest neighbours and their distance in Å.
Fractional coordinates of all 5 atoms:
Ta 0.0000 0.0000 0.0000  8 Au 2.96
Au 0.7500 0.2500 0.5000  8 Au 2.64-2.88
Au 0.4051 0.4051 0.0000  5 Au 2.68-2.88, 4 Ta 2.96
Au 0.5949 0.5949 0.0000  5 Au 2.68-2.88, 4 Ta 2.96
Au 0.2500 0.7500 0.5000  8 Au 2.64-2.88

Calculated values
final energy	-22.768	eV per cell
D(E_F)	0.675	states/eV per atom
energy of formation from the pure elements	42.34	kJ/mol of atoms

=====

A geometry-optimized TaAu2 structure, computed with GGA-PBE.

Unit cell a=4.6844 b=4.6844 c=5.6849 alpha=90.00 beta=90.00 gamma=120.00
Last column: nearest neighbours and their distance in Å.
Fractional coordinates of all 6 atoms:
Ta 0.3333 0.6667 0.7500  5 Au 2.70-2.84
Ta 0.6667 0.3333 0.2500  5 Au 2.70-2.84
Au 0.0000 0.0000 0.0000  8 Au 2.84-3.06, 6 Ta 3.06
Au 0.0000 0.0000 0.5000  8 Au 2.84-3.06, 6 Ta 3.06
Au 0.3333 0.6667 0.2500  5 Ta 2.70-2.84
Au 0.6667 0.3333 0.7500  5 Ta 2.70-2.84

Calculated values
final energy	-36.051	eV per cell
D(E_F)	0.566	states/eV per atom
energy of formation from the pure elements	12.28	kJ/mol of atoms

=====

A geometry-optimized TaAu3 structure, computed with GGA-PBE.

Unit cell a=2.9629 b=2.9629 c=8.1798 alpha=90.00 beta=90.00 gamma=90.00
Last column: nearest neighbours and their distance in Å.
Fractional coordinates of all 4 atoms:
Au 0.0000 0.0000 0.0101  4 Ta 2.87, 8 Au 2.96-2.99
Au 0.0000 0.0000 0.4899  4 Ta 2.87, 8 Au 2.96-2.99
Au 0.5000 0.5000 0.7500  12 Au 2.96-2.99
Ta 0.5000 0.5000 0.2500  8 Au 2.87, 4 Ta 2.96

Calculated values
final energy	-21.920	eV per cell
D(E_F)	0.437	states/eV per atom
energy of formation from the pure elements	-5.67	kJ/mol of atoms

=====

A geometry-optimized Ta2Au structure, computed with GGA-PBE.

Unit cell a=3.9430 b=3.9430 c=4.0435 alpha=90.00 beta=90.00 gamma=90.00
Last column: nearest neighbours and their distance in Å.
Fractional coordinates of all 3 atoms:
Au 0.0000 0.0000 0.0000  8 Ta 2.82
Ta 0.0000 0.5000 0.5000  4 Ta 2.79, 4 Au 2.82
Ta 0.5000 0.0000 0.5000  4 Ta 2.79, 4 Au 2.82

Calculated values
final energy	-25.072	eV per cell
D(E_F)	0.959	states/eV per atom
energy of formation from the pure elements	61.44	kJ/mol of atoms